DFT (GGA+U) results for an optimized crystal structure of CoHgF2.

CIF file:
```
data_CoHgF2
_chemical_formula_sum 'Co4 Hg4 F8'
_cell_length_a 6.3129
_cell_length_b 6.3129
_cell_length_c 9.0275
_cell_angle_alpha 90.00
_cell_angle_beta 90.00
_cell_angle_gamma 90.00
_symmetry_space_group_name_H-M 'I -4 2 d'
_symmetry_Int_Tables_number 122
_symmetry_space_group_name_Hall 'I -4 2bw'
loop_
_atom_site_label
_atom_site_type_symbol
_atom_site_fract_x
_atom_site_fract_y
_atom_site_fract_z
_atom_site_occupancy
Co1 Co 0.0000 0.0000 0.0000 1
Hg1 Hg 0.0000 0.0000 0.5000 1
F1 F 0.0060 0.7500 0.1250 1
```

The value obtained for the density of states at the Fermi level is 0.0 states/eV per cell. The energy above the most stable polymorph in this dataset comes out at 66 meV/atom.